Record 1
Here is a relaxed YTl2Mo crystal from the Alexandria database. Energies are from PBE-GGA.

The structure in POSCAR format:
```
YTl2Mo
1.0
1.958 -2.614 0.000
1.958 2.614 0.000
0.000 0.000 9.535
Y Tl Mo
1 2 1
Direct
0.000 0.000 0.000 Y
0.000 0.000 0.446 Tl
0.500 0.500 0.717 Tl
0.500 0.500 0.222 Mo
```

Density, g/cm3: 10.10
Raw total energy, eV/atom: -5.10
Energy relative to the elements, eV per atom: 0.4066
Offset from the most stable computed form, eV/atom: 0.150

---

Record 2
Here is a relaxed YTl2Mo crystal from the Alexandria database. Energies are from PBE-GGA.

The structure in POSCAR format:
```
YTl2Mo
1.0
0.000 3.677 3.677
3.677 0.000 3.677
3.677 3.677 0.000
Y Tl Mo
1 2 1
Direct
0.000 0.000 0.000 Y
0.250 0.250 0.250 Tl
0.500 0.500 0.500 Tl
0.750 0.750 0.750 Mo
```

Density, g/cm3: 9.92
Raw total energy, eV/atom: -4.88
Energy relative to the elements, eV per atom: 0.6272
Offset from the most stable computed form, eV/atom: 0.371

---

Record 3
Here is a relaxed Y4TlMo crystal from the Alexandria database. Energies are from PBE-GGA.

The structure in POSCAR format:
```
Y4TlMo
1.0
0.000 4.318 4.318
4.318 0.000 4.318
4.318 4.318 0.000
Y Tl Mo
4 1 1
Direct
0.124 0.124 0.124 Y
0.124 0.124 0.629 Y
0.124 0.629 0.124 Y
0.629 0.124 0.124 Y
0.500 0.500 0.500 Tl
0.750 0.750 0.750 Mo
```

Density, g/cm3: 6.76
Raw total energy, eV/atom: -5.77
Energy relative to the elements, eV per atom: 0.7364

---

Record 4
Here is a relaxed YTl2Mo crystal from the Alexandria database. Energies are from PBE-GGA.

The structure in POSCAR format:
```
YTl2Mo
1.0
1.635 0.944 10.081
-1.635 0.944 10.081
0.000 -1.888 10.081
Y Tl Mo
1 2 1
Direct
0.000 0.000 0.000 Y
0.243 0.243 0.243 Tl
0.757 0.757 0.757 Tl
0.500 0.500 0.500 Mo
```

Density, g/cm3: 10.56
Raw total energy, eV/atom: -5.09
Energy relative to the elements, eV per atom: 0.4211
Offset from the most stable computed form, eV/atom: 0.165

---

Record 5
Here is a relaxed YTl2Mo crystal from the Alexandria database. Energies are from PBE-GGA.

The structure in POSCAR format:
```
YTl2Mo
1.0
0.000 3.591 3.591
3.591 0.000 3.591
3.591 3.591 0.000
Y Tl Mo
1 2 1
Direct
0.000 0.000 0.000 Y
0.250 0.250 0.250 Tl
0.750 0.750 0.750 Tl
0.500 0.500 0.500 Mo
```

Density, g/cm3: 10.64
Raw total energy, eV/atom: -5.18
Energy relative to the elements, eV per atom: 0.3257
Offset from the most stable computed form, eV/atom: 0.070

---

Record 6
Here is a relaxed Y2TlMo crystal from the Alexandria database. Energies are from PBE-GGA.

The structure in POSCAR format:
```
Y2TlMo
1.0
0.000 3.608 3.608
3.608 0.000 3.608
3.608 3.608 0.000
Y Tl Mo
2 1 1
Direct
0.000 0.000 0.000 Y
0.250 0.250 0.250 Y
0.500 0.500 0.500 Tl
0.750 0.750 0.750 Mo
```

Density, g/cm3: 8.45
Raw total energy, eV/atom: -6.19
Energy relative to the elements, eV per atom: 0.3415
Offset from the most stable computed form, eV/atom: 0.276

---

Record 7
Here is a relaxed YTl2Mo crystal from the Alexandria database. Energies are from PBE-GGA.

The structure in POSCAR format:
```
YTl2Mo
1.0
3.162 -4.319 0.000
3.162 4.319 0.000
-0.010 0.000 3.340
Y Tl Mo
1 2 1
Direct
0.000 0.000 0.000 Y
0.000 0.500 0.500 Tl
0.500 0.000 0.500 Tl
0.500 0.500 0.000 Mo
```

Density, g/cm3: 10.80
Raw total energy, eV/atom: -5.11
Energy relative to the elements, eV per atom: 0.3998
Offset from the most stable computed form, eV/atom: 0.144

---

Record 8
Here is a relaxed YTlMo4 crystal from the Alexandria database. Energies are from PBE-GGA.

The structure in POSCAR format:
```
YTlMo4
1.0
0.000 3.858 3.858
3.858 0.000 3.858
3.858 3.858 0.000
Y Tl Mo
1 1 4
Direct
0.000 0.000 0.000 Y
0.250 0.250 0.250 Tl
0.128 0.624 0.624 Mo
0.624 0.128 0.624 Mo
0.624 0.624 0.128 Mo
0.624 0.624 0.624 Mo
```

Density, g/cm3: 9.79
Raw total energy, eV/atom: -8.39
Energy relative to the elements, eV per atom: 0.3044

---

Calculated volume
In order: 97.62, 99.39, 161.02, 93.33, 92.64, 93.97, 91.23, 114.82
Unit: Å³ per cell